LaZnSb at its PBEsol-relaxed geometry. Source: Alexandria, functional meta-GGA SCAN.

Calculated total energy, eV/atom: -32.18
Volume, Å³/cell: 76.0
Magnetic moment, μB per cell: 0.00

Geometry as CIF:
```
data_LaZnSb
_chemical_formula_sum 'La1 Zn1 Sb1'
_space_group_name_H-M_alt 'P 3 m 1'
_space_group_IT_number 156
_cell_length_a 4.4505
_cell_length_b 4.4505
_cell_length_c 4.4314
_cell_angle_alpha 90.00
_cell_angle_beta 90.00
_cell_angle_gamma 120.00
loop_
_space_group_symop_operation_xyz
'x,y,z'
'-y,x-y,z'
'-x+y,-x,z'
'-y,-x,z'
'-x+y,y,z'
'x,x-y,z'
loop_
_atom_site_label
_atom_site_type_symbol
_atom_site_fract_x
_atom_site_fract_y
_atom_site_fract_z
La1 La 0.0000 0.0000 0.0000
Zn1 Zn 0.6667 0.3333 0.3565
Sb1 Sb 0.3333 0.6667 0.5325
```